#a
## ErPa2S6 (PBE)

Data for a relaxed structure of ErPa2S6.

Results
size of the total moment = 1.12 μB/f.u.

Cell: 5.1372 7.2404 7.6999 Å, 71.51 70.51 69.22°
Last column: nearest neighbours and their distance in Å.
Element x y z (fractional)
1 Er 0.0000 0.5000 0.5000  8 S 2.75-3.02
2 Pa 0.1854 0.7446 0.8847  6 S 2.52-2.80
3 Pa 0.8146 0.2554 0.1153  6 S 2.52-2.80
4 S 0.2530 0.3619 0.1321  3 Pa 2.68-2.80
5 S 0.7470 0.6381 0.8679  3 Pa 2.68-2.80
6 S 0.9657 0.8494 0.2191  2 Pa 2.68, 1 Er 2.75
7 S 0.0343 0.1506 0.7809  2 Pa 2.68, 1 Er 2.75
8 S 0.6266 0.2946 0.4522  1 Pa 2.52
9 S 0.3734 0.7054 0.5478  1 Pa 2.52


#b
## ErPa2S6 (PBE)

Data for a relaxed structure of ErPa2S6.

Results
size of the total moment = 1.11 μB/f.u.

Cell: 6.5993 6.7615 9.8419 Å, 90.00 99.78 90.00°
Last column: nearest neighbours and their distance in Å.
Element x y z (fractional)
1 S 0.1772 0.3108 0.0611  1 Er 2.64, 3 Pa 2.76-2.93
2 S 0.8140 0.6774 0.5989  2 Pa 2.67-2.72, 1 Er 2.76
3 Pa 0.5496 0.8884 0.7164  7 S 2.67-2.93
4 S 0.1860 0.3226 0.4011  2 Pa 2.67-2.72, 1 Er 2.76
5 S 0.8228 0.6892 0.9389  1 Er 2.64, 3 Pa 2.76-2.93
6 S 0.2007 0.0902 0.7471  1 Er 2.64, 2 Pa 2.67-2.74
7 S 0.7993 0.9098 0.2529  1 Er 2.64, 2 Pa 2.67-2.74
8 Pa 0.0496 0.6116 0.2164  7 S 2.67-2.93
9 S 0.6860 0.1774 0.9011  2 Pa 2.67-2.72, 1 Er 2.76
10 Er 0.5000 0.5000 0.0000  6 S 2.64-2.76
11 S 0.6772 0.1892 0.5611  1 Er 2.64, 3 Pa 2.76-2.93
12 S 0.7007 0.4098 0.2471  1 Er 2.64, 2 Pa 2.67-2.74
13 Pa 0.9504 0.3884 0.7836  7 S 2.67-2.93
14 S 0.3140 0.8226 0.0989  2 Pa 2.67-2.72, 1 Er 2.76
15 S 0.3228 0.8108 0.4389  1 Er 2.64, 3 Pa 2.76-2.93
16 S 0.2993 0.5902 0.7529  1 Er 2.64, 2 Pa 2.67-2.74
17 Er 0.0000 0.0000 0.5000  6 S 2.64-2.76
18 Pa 0.4504 0.1116 0.2836  7 S 2.67-2.93


#b takes first place; second place is 8.2 kJ/mol of atoms up.


#a
## Er2PaSb (PBE)

Data for a relaxed structure of Er2PaSb.

Results
size of the total moment = 0.00 μB/f.u.

Cell: 4.5101 4.7943 4.7943 Å, 90.00 90.00 90.00°
Last column: nearest neighbours and their distance in Å.
Element x y z (fractional)
1 Sb 0.5000 0.5000 0.5000  8 Er 3.29, 4 Pa 3.39
2 Er 0.0000 0.0000 0.5000  4 Sb 3.29, 4 Pa 3.29, 4 Er 3.39
3 Er 0.0000 0.5000 0.0000  4 Pa 3.29, 4 Sb 3.29, 4 Er 3.39
4 Pa 0.5000 0.0000 0.0000  8 Er 3.29, 4 Sb 3.39


#b
## Er2PaSb (PBE)

Data for a relaxed structure of Er2PaSb.

Results
size of the total moment = 0.00 μB/f.u.

Cell: 3.8284 3.8284 7.2401 Å, 90.00 90.00 90.00°
Last column: nearest neighbours and their distance in Å.
Element x y z (fractional)
1 Er 0.0000 0.0000 0.7720  4 Sb 3.17, 1 Er 3.30, 4 Pa 3.35
2 Sb 0.5000 0.5000 0.0000  8 Er 3.17
3 Er 0.0000 0.0000 0.2280  4 Sb 3.17, 1 Er 3.30, 4 Pa 3.35
4 Pa 0.5000 0.5000 0.5000  8 Er 3.35, 2 Sb 3.62


#c
## Er2PaSb (PBE)

Data for a relaxed structure of Er2PaSb.

Results
size of the total moment = 0.00 μB/f.u.

Cell: 3.4732 3.4732 10.6396 Å, 80.61 80.61 60.00°
Last column: nearest neighbours and their distance in Å.
Element x y z (fractional)
1 Pa 0.5000 0.5000 0.5000  6 Er 3.38, 6 Pa 3.47
2 Sb 0.0000 0.0000 0.0000  6 Er 3.20, 6 Sb 3.47
3 Er 0.2536 0.2536 0.2391  3 Sb 3.20, 3 Pa 3.38, 6 Er 3.47
4 Er 0.7464 0.7464 0.7609  3 Sb 3.20, 3 Pa 3.38, 6 Er 3.47


#b takes first place; second place is 3.2 kJ/mol of atoms up.